A plane-wave DFT calculation with PBE with a Hubbard U was carried out for a relaxed NiAuNF2 crystal.

Cell lengths 3.7436, 3.7436, 4.3708 Å; angles 90.00, 90.00, 90.00 degrees
Element x y z (fractional)
Ni (0.0000, 0.0000, 0.0000)
Au (0.5000, 0.5000, 0.5000)
N (0.0000, 0.0000, 0.5000)
F (0.0000, 0.5000, 0.0000)
F (0.5000, 0.0000, 0.0000)

Results
Energy above the most stable polymorph in this dataset = 0.000 eV/f.u.
V = 61.3 Å³/cell